AgTeI2O | PBE-GGA | relaxed

## Properties
Energy relative to the elements, uncorrected: 0.82 eV per atom
Magnetization: 3.4 μB per cell
Calculated density: 4.7 Mg/m³
Distance to the lowest polymorph of the same formula: 0.850 eV/atom
E_tot: -9.94 eV for the cell shown

Cell lengths 5.668, 5.668, 5.566 Å; angles 90.00, 90.00, 90.00 degrees
Fractional positions:
Ag (0.000, 0.000, 0.000)
Te (0.000, 0.000, 0.500)
I (0.000, 0.500, 0.000)
I (0.500, 0.000, 0.000)
O (0.500, 0.500, 0.500)